Entry 1:
## Cs3Pr2HfSe6 (PBE)

Data for a relaxed Cs3Pr2HfSe6 crystal.

Lattice parameters (Å, degrees): 7.3922 7.3922 8.7558 98.12 98.12 120.00
Closest atoms and distances in Å follow each position.
Atoms (fractional coordinates):
Cs 0.1725 0.8275 0.5000  6 Se 3.55-3.70
Cs 0.8275 0.1725 0.5000  6 Se 3.55-3.70
Cs 0.5000 0.5000 0.5000  6 Se 3.54-3.73
Pr 0.3339 0.6661 0.0000  6 Se 3.01-3.02
Pr 0.6661 0.3339 0.0000  6 Se 3.01-3.02
Hf 0.0000 0.0000 0.0000  6 Se 2.76-2.77
Se 0.9376 0.6313 0.8129  1 Hf 2.76, 2 Pr 3.01-3.02
Se 0.7575 0.7575 0.1895  1 Hf 2.77, 2 Pr 3.02
Se 0.0624 0.3687 0.1871  1 Hf 2.76, 2 Pr 3.01-3.02
Se 0.6313 0.9376 0.8129  1 Hf 2.76, 2 Pr 3.01-3.02
Se 0.2425 0.2425 0.8105  1 Hf 2.77, 2 Pr 3.02
Se 0.3687 0.0624 0.1871  1 Hf 2.76, 2 Pr 3.01-3.02

Values from the calculation:
**Calculated volume**: 397.5 Å³/f.u.
**Mass density**: 5.6 g cm⁻³
**ΔE_f (raw)**: -18.46 eV per formula unit

=====

Entry 2:
## CuGePd (PBE)

Data for a relaxed CuGePd crystal.

Lattice parameters (Å, degrees): 2.7438 2.9072 12.2584 83.19 90.00 90.00
Closest atoms and distances in Å follow each position.
Atoms (fractional coordinates):
Cu 0.7500 0.7168 0.5664  2 Ge 2.50, 6 Cu 2.57-2.74
Cu 0.2500 0.2832 0.4336  2 Ge 2.50, 6 Cu 2.57-2.74
Pd 0.2500 0.0496 0.9009  2 Ge 2.46, 2 Pd 2.74
Pd 0.7500 0.9504 0.0991  2 Ge 2.46, 2 Pd 2.74
Ge 0.2500 0.6310 0.7379  2 Pd 2.46, 2 Cu 2.50, 2 Ge 2.74
Ge 0.7500 0.3690 0.2621  2 Pd 2.46, 2 Cu 2.50, 2 Ge 2.74

Values from the calculation:
**Calculated volume**: 48.5 Å³/f.u.
**Mass density**: 8.3 g cm⁻³
**Formation energy**: 0.020 eV/atom

=====

Entry 3:
## Y2Sn5Pd3 (PBE)

Data for a relaxed Y2Sn5Pd3 crystal.

Lattice parameters (Å, degrees): 4.5052 7.4352 13.5384 90.00 99.58 90.00
Closest atoms and distances in Å follow each position.
Atoms (fractional coordinates):
Y 0.4765 0.7536 0.9530  3 Pd 2.91-3.14, 2 Sn 3.19
Y 0.1731 0.7346 0.3462  8 Sn 3.20-3.53, 4 Pd 3.33-3.57
Y 0.8269 0.2346 0.6538  8 Sn 3.20-3.53, 4 Pd 3.33-3.57
Y 0.5235 0.2536 0.0470  3 Pd 2.91-3.14, 2 Sn 3.19
Sn 0.4031 0.3831 0.8061  3 Pd 2.67-2.76
Sn 0.2893 0.5090 0.5786  3 Pd 2.74-2.82
Sn 0.7107 0.0090 0.4214  3 Pd 2.74-2.82
Sn 0.1191 0.2577 0.2381  4 Pd 2.80-2.97, 1 Sn 3.13
Sn 0.2962 0.9346 0.5924  4 Pd 2.69-2.85
Sn 0.9522 0.0912 0.9045  4 Pd 2.74-2.85
Sn 0.7038 0.4346 0.4076  4 Pd 2.69-2.85
Sn 0.8809 0.7577 0.7619  4 Pd 2.80-2.97, 1 Sn 3.13
Sn 0.0478 0.5912 0.0955  4 Pd 2.74-2.85
Sn 0.5969 0.8831 0.1939  3 Pd 2.67-2.76
Pd 0.7769 0.7134 0.5538  7 Sn 2.74-2.85
Pd 0.6052 0.5127 0.2105  6 Sn 2.69-2.97, 1 Y 2.91
Pd 0.0495 0.9748 0.0990  5 Sn 2.67-2.85
Pd 0.2231 0.2134 0.4462  7 Sn 2.74-2.85
Pd 0.9505 0.4748 0.9010  5 Sn 2.67-2.85
Pd 0.3948 0.0127 0.7895  6 Sn 2.69-2.97, 1 Y 2.91

Values from the calculation:
**Calculated volume**: 223.6 Å³/f.u.
**Mass density**: 8.1 g cm⁻³
**Formation energy**: -0.683 eV/atom

=====

Entry 4:
## BaAu (PBE)

Data for a relaxed BaAu crystal.

Lattice parameters (Å, degrees): 9.0060 9.0060 6.4942 90.00 90.00 120.00
Closest atoms and distances in Å follow each position.
Atoms (fractional coordinates):
Ba 0.6446 0.9000 0.2500  5 Au 3.27-3.51
Ba 0.7446 0.6446 0.7500  5 Au 3.27-3.51
Ba 0.1000 0.7446 0.2500  5 Au 3.27-3.51
Ba 0.3554 0.1000 0.7500  5 Au 3.27-3.51
Ba 0.2554 0.3554 0.2500  5 Au 3.27-3.51
Ba 0.9000 0.2554 0.7500  5 Au 3.27-3.51
Au 0.8494 0.3197 0.2500  2 Au 2.96, 1 Ba 3.27
Au 0.5296 0.8494 0.7500  2 Au 2.96, 1 Ba 3.27
Au 0.6803 0.5296 0.2500  2 Au 2.96, 1 Ba 3.27
Au 0.1506 0.6803 0.7500  2 Au 2.96, 1 Ba 3.27
Au 0.4704 0.1506 0.2500  2 Au 2.96, 1 Ba 3.27
Au 0.3197 0.4704 0.7500  2 Au 2.96, 1 Ba 3.27

Values from the calculation:
**Calculated volume**: 76.0 Å³/f.u.
**Mass density**: 7.3 g cm⁻³
**Formation energy**: -0.593 eV/atom

=====

Entry 5:
## Tl8S3Br2 (PBE)

Data for a relaxed Tl8S3Br2 crystal.

Lattice parameters (Å, degrees): 7.4183 10.0416 10.0414 49.16 59.49 59.49
Closest atoms and distances in Å follow each position.
Atoms (fractional coordinates):
Tl 0.9435 0.4016 0.4017  2 S 2.93-2.94, 1 Br 3.10
Tl 0.0565 0.5984 0.5983  2 S 2.93-2.94, 1 Br 3.10
Tl 0.9868 0.8857 0.8856  3 S 2.99-3.00
Tl 0.0132 0.1143 0.1144  3 S 2.99-3.00
Tl 0.5137 0.3676 0.8438  2 S 2.96-3.00, 1 Br 3.13
Tl 0.5137 0.8437 0.3676  2 S 2.96-3.00, 1 Br 3.13
Tl 0.4863 0.1563 0.6324  2 S 2.96-3.00, 1 Br 3.13
Tl 0.4863 0.6324 0.1562  2 S 2.96-3.00, 1 Br 3.13
S 0.5000 0.0000 0.0000  6 Tl 2.96-3.00
S 0.0000 0.7503 0.2496  6 Tl 2.93-3.00
S 0.0000 0.2497 0.7504  6 Tl 2.93-3.00
Br 0.5737 0.7557 0.7557  3 Tl 3.10-3.13
Br 0.4263 0.2443 0.2443  3 Tl 3.10-3.13

Values from the calculation:
**Calculated volume**: 469.5 Å³/f.u.
**Mass density**: 6.7 g cm⁻³
**ΔE_f (raw)**: -6.05 eV per formula unit

=====

Entry 6:
## YClO (PBE)

Data for a relaxed YClO crystal.

Lattice parameters (Å, degrees): 3.8288 3.8288 10.2131 90.02 100.91 60.00
Closest atoms and distances in Å follow each position.
Atoms (fractional coordinates):
Y 0.4304 0.7849 0.1442  4 O 2.29
Y 0.5696 0.2151 0.8558  4 O 2.29
O 0.2756 0.8621 0.9142  4 Y 2.29
O 0.7244 0.1379 0.0858  4 Y 2.29
Cl 0.7856 0.6069 0.6813  3 Y 2.81
Cl 0.2144 0.3931 0.3187  3 Y 2.81

Values from the calculation:
**Calculated volume**: 63.3 Å³/f.u.
**Mass density**: 3.7 g cm⁻³
**ΔE_f (raw)**: -9.26 eV per formula unit

=====

Entry 7:
## Li14Ag2S9 (PBE)

Data for a relaxed Li14Ag2S9 crystal.

Lattice parameters (Å, degrees): 7.1380 7.1380 9.8528 90.00 90.00 120.00
Closest atoms and distances in Å follow each position.
Atoms (fractional coordinates):
Li 0.0114 0.6706 0.9111  4 S 2.46-2.60
Li 0.3353 0.9767 0.5926  4 S 2.43-2.51
Li 0.0233 0.3586 0.5926  4 S 2.43-2.51
Li 0.0000 0.0000 0.2524  4 S 2.44-2.49
Li 0.0000 0.0000 0.7476  4 S 2.44-2.49
Li 0.3294 0.3408 0.9111  4 S 2.46-2.60
Li 0.6592 0.9886 0.9111  4 S 2.46-2.60
Li 0.3586 0.3353 0.4074  4 S 2.43-2.51
Li 0.6414 0.6647 0.5926  4 S 2.43-2.51
Li 0.3408 0.0114 0.0889  4 S 2.46-2.60
Li 0.6706 0.6592 0.0889  4 S 2.46-2.60
Li 0.9767 0.6414 0.4074  4 S 2.43-2.51
Li 0.6647 0.0233 0.4074  4 S 2.43-2.51
Li 0.9886 0.3294 0.0889  4 S 2.46-2.60
Ag 0.3333 0.6667 0.2509  4 S 2.51-2.53
Ag 0.6667 0.3333 0.7491  4 S 2.51-2.53
S 0.3122 0.9866 0.3421  6 Li 2.43-2.51, 1 Ag 2.53
S 0.0134 0.3256 0.3421  6 Li 2.43-2.51, 1 Ag 2.53
S 0.3333 0.6667 0.9963  6 Li 2.46-2.60, 1 Ag 2.51
S 0.0000 0.0000 0.0000  8 Li 2.49-2.55
S 0.3256 0.3122 0.6579  6 Li 2.43-2.51, 1 Ag 2.53
S 0.6744 0.6878 0.3421  6 Li 2.43-2.51, 1 Ag 2.53
S 0.6667 0.3333 0.0037  6 Li 2.46-2.60, 1 Ag 2.51
S 0.9866 0.6744 0.6579  6 Li 2.43-2.51, 1 Ag 2.53
S 0.6878 0.0134 0.6579  6 Li 2.43-2.51, 1 Ag 2.53

Values from the calculation:
**Calculated volume**: 434.8 Å³/f.u.
**Mass density**: 2.3 g cm⁻³
**ΔE_f (raw)**: -26.18 eV per formula unit

=====

Entry 8:
## NaHfZn2 (PBE)

Data for a relaxed NaHfZn2 crystal.

Lattice parameters (Å, degrees): 3.0942 3.0942 8.3765 90.00 90.00 90.00
Closest atoms and distances in Å follow each position.
Atoms (fractional coordinates):
Na 0.5000 0.5000 0.0000  4 Na 3.09, 8 Zn 3.19
Zn 0.0000 0.0000 0.7228  4 Hf 2.88, 4 Zn 3.09, 4 Na 3.19
Zn 0.0000 0.0000 0.2772  4 Hf 2.88, 4 Zn 3.09, 4 Na 3.19
Hf 0.5000 0.5000 0.5000  8 Zn 2.88, 4 Hf 3.09

Values from the calculation:
**Relative energy among the computed polymorphs**: 0.000 eV per atom
**Calculated volume**: 80.2 Å³/f.u.
**Mass density**: 6.9 g cm⁻³
**Formation energy**: 0.012 eV/atom

=====

Entry 9:
## HoNpUO6 (PBE)

Data for a relaxed HoNpUO6 crystal.

Lattice parameters (Å, degrees): 5.7635 5.7635 9.4107 90.00 90.00 120.00
Closest atoms and distances in Å follow each position.
Atoms (fractional coordinates):
Ho 0.3333 0.6667 0.2500  6 O 2.27
Ho 0.6667 0.3333 0.7500  6 O 2.27
Np 0.0000 0.0000 0.0000  6 O 2.30
Np 0.0000 0.0000 0.5000  6 O 2.30
U 0.6667 0.3333 0.2500  6 O 2.16
U 0.3333 0.6667 0.7500  6 O 2.16
O 0.6720 0.6563 0.1317  1 U 2.16, 1 Ho 2.27, 1 Np 2.30
O 0.9844 0.3280 0.1317  1 U 2.16, 1 Ho 2.27, 1 Np 2.30
O 0.3280 0.9844 0.6317  1 U 2.16, 1 Ho 2.27, 1 Np 2.30
O 0.0156 0.6720 0.8683  1 U 2.16, 1 Ho 2.27, 1 Np 2.30
O 0.3437 0.3280 0.3683  1 U 2.16, 1 Ho 2.27, 1 Np 2.30
O 0.9844 0.6563 0.3683  1 U 2.16, 1 Ho 2.27, 1 Np 2.30
O 0.6563 0.9844 0.8683  1 U 2.16, 1 Ho 2.27, 1 Np 2.30
O 0.6720 0.0156 0.3683  1 U 2.16, 1 Ho 2.27, 1 Np 2.30
O 0.0156 0.3437 0.6317  1 U 2.16, 1 Ho 2.27, 1 Np 2.30
O 0.3437 0.0156 0.1317  1 U 2.16, 1 Ho 2.27, 1 Np 2.30
O 0.6563 0.6720 0.6317  1 U 2.16, 1 Ho 2.27, 1 Np 2.30
O 0.3280 0.3437 0.8683  1 U 2.16, 1 Ho 2.27, 1 Np 2.30

Values from the calculation:
**Calculated volume**: 135.4 Å³/f.u.
**Mass density**: 9.0 g cm⁻³
**ΔE_f (raw)**: -28.56 eV per formula unit

=====

Entry 10:
## UCd2SnO8 (PBE)

Data for a relaxed UCd2SnO8 crystal.

Lattice parameters (Å, degrees): 5.0592 5.0508 6.7663 90.02 89.98 91.98
Closest atoms and distances in Å follow each position.
Atoms (fractional coordinates):
U 0.0000 0.0000 0.5000  6 O 2.00-2.13
Cd 0.4999 0.5001 0.7549  6 O 2.23-2.32
Cd 0.5001 0.4999 0.2451  6 O 2.23-2.32
Sn 0.0000 0.0000 0.0000  6 O 2.02-2.16
O 0.1799 0.8175 0.2531  1 U 2.13, 1 Sn 2.16, 1 Cd 2.32
O 0.7113 0.7148 0.0000  1 Sn 2.02, 2 Cd 2.23
O 0.8201 0.1825 0.2532  1 U 2.13, 1 Sn 2.16, 1 Cd 2.32
O 0.8201 0.1825 0.7469  1 U 2.13, 1 Sn 2.16, 1 Cd 2.32
O 0.2887 0.2852 0.0000  1 Sn 2.02, 2 Cd 2.23
O 0.1799 0.8175 0.7468  1 U 2.13, 1 Sn 2.16, 1 Cd 2.32
O 0.7135 0.7158 0.5000  1 U 2.00
O 0.2865 0.2842 0.5000  1 U 2.00

Values from the calculation:
**Calculated volume**: 172.8 Å³/f.u.
**Mass density**: 6.8 g cm⁻³
**ΔE_f (raw)**: -18.93 eV per formula unit